(1)
Here is Tc after structural relaxation from the Alexandria database. Energies are from PBEsol.

Unit cell a=2.7071 b=2.7071 c=2.7071 alpha=60.00 beta=60.00 gamma=60.00
Sites, in units of the cell vectors:
Tc 0.0000 0.0000 0.0000

Summary:
N(E_F) ... 1.1 states/eV/f.u.
ΔH_f (0 K) ... 76 meV per atom
Offset from the most stable computed form ... 0.08 eV per formula unit

(2)
Here is CoTeHI2 after structural relaxation from the Alexandria database. Energies are from PBEsol.

Unit cell a=5.4074 b=5.4074 c=4.6708 alpha=90.00 beta=90.00 gamma=90.00
Sites, in units of the cell vectors:
Co 0.0000 0.0000 0.0000
Te 0.0000 0.0000 0.5000
H 0.5000 0.5000 0.5000
I 0.0000 0.5000 0.0000
I 0.5000 0.0000 0.0000

Summary:
N(E_F) ... 4.2 states/eV/f.u.
DFT total energy ... -0.2155 Ry per atom

(3)
Here is MnAlOs2 after structural relaxation from the Alexandria database. Energies are from PBEsol.

Unit cell a=2.6616 b=2.6616 c=8.5645 alpha=90.00 beta=90.00 gamma=116.98
Sites, in units of the cell vectors:
Mn 0.0000 0.0000 0.0000
Al 0.5000 0.5000 0.7624
Os 0.0000 0.0000 0.5122
Os 0.5000 0.5000 0.2424

Summary:
N(E_F) ... 4.9 states/eV/f.u.
ΔH_f (0 K) ... 286 meV per atom